Material: Co4NiRu
Method: DFT, PBE-GGA
State: optimized geometry

Output
E_form: 0.19 eV per atom

abc: 4.6564 4.6564 4.6564
angles: 60.00 60.00 60.00
Fractional positions:
Co: 0.1247 0.1247 0.1247
Co: 0.1247 0.1247 0.6259
Co: 0.1247 0.6259 0.1247
Co: 0.6259 0.1247 0.1247
Ni: 0.7500 0.7500 0.7500
Ru: 0.5000 0.5000 0.5000